A geometry-optimized Rb2ZnBiF6 structure, computed with PBE.

a b c (Å): 6.4053 6.4053 9.0593
angles (deg): 90.00 90.00 90.00
Space group I4/mmm (No. 139)
Symmetry-distinct sites (fractional):
Rb  0.0000  0.5000  0.2500
Zn  0.0000  0.0000  0.0000
Bi  0.0000  0.0000  0.5000
F  0.0000  0.0000  0.2356
F  0.2389  0.2389  0.0000

Calculated values
formation energy (no corrections) = -2312 meV/atom
DOS(E_F) = 0.42 states/eV per atom
volume = 18.6 A^3/atom
crystal system = tetragonal
M_tot = 0.000 μB/atom

***

A geometry-optimized RbZn2BiF8 structure, computed with PBE.

a b c (Å): 5.4014 5.4014 25.6790
angles (deg): 90.00 90.00 120.00
Space group R32 (No. 155, hexagonal axes)
Symmetry-distinct sites (fractional):
Rb  0.0000  0.0000  0.0000
Zn  0.0000  0.0000  0.2551
Bi  0.0000  0.0000  0.5000
F  0.0000  0.0000  0.3273
F  0.0006  0.3432  0.8893

Calculated values
formation energy (no corrections) = -2363 meV/atom
DOS(E_F) = 0.00 states/eV per atom
volume = 18.0 A^3/atom
crystal system = trigonal
M_tot = 0.000 μB/atom

***

A geometry-optimized Rb2ZrBiF6 structure, computed with PBE.

a b c (Å): 6.6431 6.6431 11.6461
angles (deg): 90.00 90.00 90.00
Space group I4/mmm (No. 139)
Symmetry-distinct sites (fractional):
Rb  0.0000  0.5000  0.2500
Zr  0.0000  0.0000  0.0000
Bi  0.0000  0.0000  0.5000
F  0.0000  0.0000  0.1751
F  0.2174  0.2174  0.0000

Calculated values
formation energy (no corrections) = -2638 meV/atom
DOS(E_F) = 0.50 states/eV per atom
volume = 25.7 A^3/atom
crystal system = tetragonal
M_tot = 0.100 μB/atom

***

A geometry-optimized ReBi3F structure, computed with PBE.

a b c (Å): 4.9424 4.9424 4.9424
angles (deg): 90.00 90.00 90.00
Space group Pm-3m (No. 221)
Symmetry-distinct sites (fractional):
Re  0.0000  0.0000  0.0000
Bi  0.0000  0.5000  0.5000
F  0.5000  0.5000  0.5000

Calculated values
formation energy (no corrections) = 578 meV/atom
energy relative to the lowest polymorph listed for this composition = 218 meV/atom
DOS(E_F) = 0.92 states/eV per atom
volume = 24.1 A^3/atom
crystal system = cubic
M_tot = 0.471 μB/atom

***

A geometry-optimized Re3BiF structure, computed with PBE.

a b c (Å): 5.2102 5.2102 5.2102
angles (deg): 90.00 90.00 90.00
Space group Pm-3m (No. 221)
Symmetry-distinct sites (fractional):
Re  0.0000  0.0000  0.5000
Bi  0.0000  0.0000  0.0000
F  0.5000  0.5000  0.5000

Calculated values
formation energy (no corrections) = 3260 meV/atom
energy relative to the lowest polymorph listed for this composition = 1639 meV/atom
DOS(E_F) = 1.10 states/eV per atom
volume = 28.3 A^3/atom
crystal system = cubic
M_tot = 1.758 μB/atom

***

A geometry-optimized ReBi3F structure, computed with PBE.

a b c (Å): 5.3350 5.3350 5.3350
angles (deg): 90.00 90.00 90.00
Space group Pm-3m (No. 221)
Symmetry-distinct sites (fractional):
Re  0.0000  0.0000  0.0000
Bi  0.0000  0.0000  0.5000
F  0.5000  0.5000  0.5000

Calculated values
formation energy (no corrections) = 360 meV/atom
energy relative to the lowest polymorph listed for this composition = 0 meV/atom
DOS(E_F) = 0.96 states/eV per atom
volume = 30.4 A^3/atom
crystal system = cubic
M_tot = 0.000 μB/atom